# HgS5O | the Alexandria database | PBE-GGA | optimized geometry
data_HgS5O
_symmetry_space_group_name_H-M 'C 1 2 1'
_symmetry_Int_Tables_number 5
_cell_length_a 7.427
_cell_length_b 17.580
_cell_length_c 4.018
_cell_angle_alpha 90.00
_cell_angle_beta 119.92
_cell_angle_gamma 90.00
loop_
_symmetry_equiv_pos_as_xyz
'x,y,z'
'-x,y,-z'
'x+1/2,y+1/2,z'
'-x+1/2,y+1/2,-z'
loop_
_atom_site_label
_atom_site_type_symbol
_atom_site_fract_x
_atom_site_fract_y
_atom_site_fract_z
Hg1 Hg 0.000 0.000 0.000
S1 S 0.000 0.374 0.500
S2 S 0.084 0.599 0.778
S3 S 0.119 0.298 0.943
O1 O 0.000 0.026 0.500
# electronic total energy = -0.2583 Ry/atom
# formation energy (no corrections) = 185 meV per atom



# ZnInBr3 | the Alexandria database | PBE-GGA | optimized geometry
data_ZnInBr3
_symmetry_space_group_name_H-M 'P 1'
_symmetry_Int_Tables_number 1
_cell_length_a 6.924
_cell_length_b 7.664
_cell_length_c 7.983
_cell_angle_alpha 90.01
_cell_angle_beta 98.96
_cell_angle_gamma 111.67
loop_
_symmetry_equiv_pos_as_xyz
'x,y,z'
loop_
_atom_site_label
_atom_site_type_symbol
_atom_site_fract_x
_atom_site_fract_y
_atom_site_fract_z
Zn1 Zn 0.000 0.000 0.000
Zn2 Zn 0.199 0.903 0.673
In1 In 0.324 0.707 0.284
In2 In 0.724 0.429 0.803
Br1 Br 0.157 0.577 0.638
Br2 Br 0.369 0.033 0.972
Br3 Br 0.390 0.100 0.476
Br4 Br 0.850 0.919 0.690
Br5 Br 0.858 0.724 0.154
Br6 Br 0.981 0.286 0.097
# distance to the lowest polymorph of the same formula = 0.01 eV per formula unit
# electronic total energy = -0.1908 Ry/atom
# formation energy (no corrections) = -790 meV per atom



# LiMg | the Alexandria database | PBE-GGA | optimized geometry
data_LiMg
_symmetry_space_group_name_H-M 'C m m m'
_symmetry_Int_Tables_number 65
_symmetry_space_group_name_Hall '-C 2 2'
_cell_length_a 3.765
_cell_length_b 4.826
_cell_length_c 4.588
_cell_angle_alpha 90.00
_cell_angle_beta 90.00
_cell_angle_gamma 90.00
loop_
_atom_site_label
_atom_site_type_symbol
_atom_site_fract_x
_atom_site_fract_y
_atom_site_fract_z
Li1 Li 0.000 0.000 0.000
Mg1 Mg 0.000 0.500 0.500
# formation energy from the elements = -37 meV/atom
# electronic total energy = -0.1316 Ry/atom



# LuPaIr2 | the Alexandria database | PBE-GGA | optimized geometry
data_LuPaIr2
_symmetry_space_group_name_H-M 'P 4/m m m'
_symmetry_Int_Tables_number 123
_symmetry_space_group_name_Hall '-P 4 2'
_cell_length_a 3.408
_cell_length_b 3.408
_cell_length_c 6.937
_cell_angle_alpha 90.00
_cell_angle_beta 90.00
_cell_angle_gamma 90.00
loop_
_atom_site_label
_atom_site_type_symbol
_atom_site_fract_x
_atom_site_fract_y
_atom_site_fract_z
Lu1 Lu 0.000 0.000 0.000
Pa1 Pa 0.000 0.000 0.500
Ir1 Ir 0.500 0.500 0.253
# distance to the lowest polymorph of the same formula = 0.00 eV per formula unit
# formation energy from the elements = -813 meV/atom
# electronic total energy = -0.6430 Ry/atom



# RuAu5 | the Alexandria database | PBE-GGA | optimized geometry
data_RuAu5
_symmetry_space_group_name_H-M 'F -4 3 m'
_symmetry_Int_Tables_number 216
_symmetry_space_group_name_Hall 'F -4 2 3'
_cell_length_a 7.696
_cell_length_b 7.696
_cell_length_c 7.696
_cell_angle_alpha 90.00
_cell_angle_beta 90.00
_cell_angle_gamma 90.00
loop_
_atom_site_label
_atom_site_type_symbol
_atom_site_fract_x
_atom_site_fract_y
_atom_site_fract_z
Ru1 Ru 0.000 0.000 0.000
Au1 Au 0.125 0.125 0.625
Au2 Au 0.250 0.250 0.250
# distance to the lowest polymorph of the same formula = 1.91 eV per formula unit
# formation energy from the elements = 541 meV/atom
# electronic total energy = -0.2746 Ry/atom



# Mg2CdRe | the Alexandria database | PBE-GGA | optimized geometry
data_Mg2CdRe
_symmetry_space_group_name_H-M 'P 4 m m'
_symmetry_Int_Tables_number 99
_cell_length_a 2.840
_cell_length_b 2.840
_cell_length_c 9.307
_cell_angle_alpha 90.00
_cell_angle_beta 90.00
_cell_angle_gamma 90.00
loop_
_symmetry_equiv_pos_as_xyz
'x,y,z'
'-y,x,z'
'-x,-y,z'
'y,-x,z'
'-x,y,z'
'y,x,z'
'x,-y,z'
'-y,-x,z'
loop_
_atom_site_label
_atom_site_type_symbol
_atom_site_fract_x
_atom_site_fract_y
_atom_site_fract_z
Mg1 Mg 0.000 0.000 0.000
Mg2 Mg 0.500 0.500 0.277
Cd1 Cd 0.500 0.500 0.740
Re1 Re 0.000 0.000 0.499
# formation energy from the elements = 384 meV/atom
# electronic total energy = -0.2759 Ry/atom



# AgICl2 | the Alexandria database | PBE-GGA | optimized geometry
data_AgICl2
_symmetry_space_group_name_H-M 'C 1 2/m 1'
_symmetry_Int_Tables_number 12
_cell_length_a 7.478
_cell_length_b 4.208
_cell_length_c 7.725
_cell_angle_alpha 90.00
_cell_angle_beta 96.90
_cell_angle_gamma 90.00
loop_
_symmetry_equiv_pos_as_xyz
'x,y,z'
'-x,-y,-z'
'-x,y,-z'
'x,-y,z'
'x+1/2,y+1/2,z'
'-x+1/2,-y+1/2,-z'
'-x+1/2,y+1/2,-z'
'x+1/2,-y+1/2,z'
loop_
_atom_site_label
_atom_site_type_symbol
_atom_site_fract_x
_atom_site_fract_y
_atom_site_fract_z
Ag1 Ag 0.000 0.000 0.000
I1 I 0.000 0.500 0.500
Cl1 Cl 0.141 0.500 0.824
# distance to the lowest polymorph of the same formula = 0.00 eV per formula unit
# electronic total energy = -0.1678 Ry/atom
# formation energy (no corrections) = -259 meV per atom



# Pu2Tl2Pb | the Alexandria database | PBE-GGA | optimized geometry
data_Pu2Tl2Pb
_symmetry_space_group_name_H-M 'C m m m'
_symmetry_Int_Tables_number 65
_symmetry_space_group_name_Hall '-C 2 2'
_cell_length_a 4.987
_cell_length_b 16.834
_cell_length_c 3.285
_cell_angle_alpha 90.00
_cell_angle_beta 90.00
_cell_angle_gamma 90.00
loop_
_atom_site_label
_atom_site_type_symbol
_atom_site_fract_x
_atom_site_fract_y
_atom_site_fract_z
Pu1 Pu 0.000 0.105 0.000
Tl1 Tl 0.000 0.302 0.500
Pb1 Pb 0.000 0.500 0.500
# formation energy from the elements = -30 meV/atom
# electronic total energy = -0.5476 Ry/atom



# Li5NiP2 | the Alexandria database | PBE-GGA | optimized geometry
data_Li5NiP2
_symmetry_space_group_name_H-M 'P 63/m m c'
_symmetry_Int_Tables_number 194
_symmetry_space_group_name_Hall '-P 6c 2c'
_cell_length_a 4.2889
_cell_length_b 4.2889
_cell_length_c 15.4304
_cell_angle_alpha 90.00
_cell_angle_beta 90.00
_cell_angle_gamma 120.00
loop_
_atom_site_label
_atom_site_type_symbol
_atom_site_fract_x
_atom_site_fract_y
_atom_site_fract_z
Li1 Li 0.0000 0.0000 0.1481
Li2 Li 0.3333 0.6667 0.0498
Li3 Li 0.3333 0.6667 0.2500
Ni1 Ni 0.3333 0.6667 0.7500
P1 P 0.3333 0.6667 0.6128
# formation energy from the elements = -541 meV/atom
# electronic total energy = -0.2802 Ry/atom



# NaGeBi2O6 | the Alexandria database | PBE-GGA | optimized geometry
data_NaGeBi2O6
_symmetry_space_group_name_H-M 'R 3'
_symmetry_Int_Tables_number 146
_symmetry_space_group_name_Hall 'R 3'
_cell_length_a 5.6411
_cell_length_b 5.6411
_cell_length_c 15.0417
_cell_angle_alpha 90.00
_cell_angle_beta 90.00
_cell_angle_gamma 120.00
loop_
_atom_site_label
_atom_site_type_symbol
_atom_site_fract_x
_atom_site_fract_y
_atom_site_fract_z
Na1 Na 0.0000 0.0000 0.0000
Ge1 Ge 0.0000 0.0000 0.4844
Bi1 Bi 0.0000 0.0000 0.2764
Bi2 Bi 0.0000 0.0000 0.7855
O1 O 0.0155 0.4130 0.2157
O2 O 0.0719 0.6746 0.0632
# electronic total energy = -0.4181 Ry/atom
# formation energy (no corrections) = -1344 meV per atom



# ZrScPt2 | the Alexandria database | PBE-GGA | optimized geometry
data_ZrScPt2
_symmetry_space_group_name_H-M 'P 1 2/m 1'
_symmetry_Int_Tables_number 10
_cell_length_a 3.339
_cell_length_b 3.166
_cell_length_c 6.947
_cell_angle_alpha 90.00
_cell_angle_beta 90.10
_cell_angle_gamma 90.00
loop_
_symmetry_equiv_pos_as_xyz
'x,y,z'
'-x,-y,-z'
'-x,y,-z'
'x,-y,z'
loop_
_atom_site_label
_atom_site_type_symbol
_atom_site_fract_x
_atom_site_fract_y
_atom_site_fract_z
Zr1 Zr 0.000 0.000 0.000
Sc1 Sc 0.000 0.000 0.500
Pt1 Pt 0.500 0.500 0.260
# formation energy from the elements = -1072 meV/atom
# electronic total energy = -0.5742 Ry/atom



# Tm3Si2Ni9Sb | the Alexandria database | PBE-GGA | optimized geometry
data_Tm3Si2Ni9Sb
_symmetry_space_group_name_H-M 'P -3 m 1'
_symmetry_Int_Tables_number 164
_symmetry_space_group_name_Hall '-P 3 2"'
_cell_length_a 6.2761
_cell_length_b 6.2761
_cell_length_c 7.4770
_cell_angle_alpha 90.00
_cell_angle_beta 90.00
_cell_angle_gamma 120.00
loop_
_atom_site_label
_atom_site_type_symbol
_atom_site_fract_x
_atom_site_fract_y
_atom_site_fract_z
Tm1 Tm 0.0000 0.0000 0.0000
Tm2 Tm 0.3333 0.6667 0.7083
Si1 Si 0.3333 0.6667 0.1608
Ni1 Ni 0.0000 0.5000 0.0000
Ni2 Ni 0.2040 0.4079 0.3887
Sb1 Sb 0.0000 0.0000 0.5000
# electronic total energy = -0.4107 Ry/atom
# formation energy (no corrections) = -227 meV per atom



# Ba2AgHg4 | the Alexandria database | PBE-GGA | optimized geometry
data_Ba2AgHg4
_symmetry_space_group_name_H-M 'I 4/m m m'
_symmetry_Int_Tables_number 139
_symmetry_space_group_name_Hall '-I 4 2'
_cell_length_a 5.374
_cell_length_b 5.374
_cell_length_c 17.553
_cell_angle_alpha 90.00
_cell_angle_beta 90.00
_cell_angle_gamma 90.00
loop_
_atom_site_label
_atom_site_type_symbol
_atom_site_fract_x
_atom_site_fract_y
_atom_site_fract_z
Ba1 Ba 0.000 0.000 0.136
Ag1 Ag 0.000 0.000 0.500
Hg1 Hg 0.000 0.000 0.332
Hg2 Hg 0.000 0.500 0.000
# distance to the lowest polymorph of the same formula = 0.89 eV per formula unit
# formation energy from the elements = -254 meV/atom
# electronic total energy = -0.1016 Ry/atom



# ZrPa2Nb | the Alexandria database | PBE-GGA | optimized geometry
data_ZrPa2Nb
_symmetry_space_group_name_H-M 'F m -3 m'
_symmetry_Int_Tables_number 225
_symmetry_space_group_name_Hall '-F 4 2 3'
_cell_length_a 7.193
_cell_length_b 7.193
_cell_length_c 7.193
_cell_angle_alpha 90.00
_cell_angle_beta 90.00
_cell_angle_gamma 90.00
loop_
_atom_site_label
_atom_site_type_symbol
_atom_site_fract_x
_atom_site_fract_y
_atom_site_fract_z
Zr1 Zr 0.000 0.000 0.000
Pa1 Pa 0.250 0.250 0.250
Nb1 Nb 0.000 0.000 0.500
# distance to the lowest polymorph of the same formula = 0.48 eV per formula unit
# formation energy from the elements = 306 meV/atom
# electronic total energy = -0.6686 Ry/atom



# Ho4Th | the Alexandria database | PBE-GGA | optimized geometry
data_Ho4Th
_symmetry_space_group_name_H-M 'P m -3 m'
_symmetry_Int_Tables_number 221
_symmetry_space_group_name_Hall '-P 4 2 3'
_cell_length_a 5.761
_cell_length_b 5.761
_cell_length_c 5.761
_cell_angle_alpha 90.00
_cell_angle_beta 90.00
_cell_angle_gamma 90.00
loop_
_atom_site_label
_atom_site_type_symbol
_atom_site_fract_x
_atom_site_fract_y
_atom_site_fract_z
Ho1 Ho 0.000 0.000 0.000
Ho2 Ho 0.000 0.500 0.500
Th1 Th 0.500 0.500 0.500
# distance to the lowest polymorph of the same formula = 4.19 eV per formula unit
# formation energy from the elements = 891 meV/atom
# electronic total energy = -0.3128 Ry/atom



# La3Y2HoSb6 | the Alexandria database | PBE-GGA | optimized geometry
data_La3Y2HoSb6
_symmetry_space_group_name_H-M 'C 1 2/m 1'
_symmetry_Int_Tables_number 12
_cell_length_a 7.816
_cell_length_b 13.535
_cell_length_c 7.782
_cell_angle_alpha 90.00
_cell_angle_beta 109.54
_cell_angle_gamma 90.00
loop_
_symmetry_equiv_pos_as_xyz
'x,y,z'
'-x,-y,-z'
'-x,y,-z'
'x,-y,z'
'x+1/2,y+1/2,z'
'-x+1/2,-y+1/2,-z'
'-x+1/2,y+1/2,-z'
'x+1/2,-y+1/2,z'
loop_
_atom_site_label
_atom_site_type_symbol
_atom_site_fract_x
_atom_site_fract_y
_atom_site_fract_z
La1 La 0.000 0.000 0.000
La2 La 0.000 0.333 0.000
Y1 Y 0.000 0.166 0.500
Ho1 Ho 0.000 0.500 0.500
Sb1 Sb 0.245 0.334 0.736
Sb2 Sb 0.247 0.000 0.737
# electronic total energy = -0.4381 Ry/atom
# formation energy (no corrections) = -1209 meV per atom



# SiPAu2 | the Alexandria database | PBE-GGA | optimized geometry
data_SiPAu2
_symmetry_space_group_name_H-M 'C 1 2/m 1'
_symmetry_Int_Tables_number 12
_cell_length_a 6.718
_cell_length_b 3.581
_cell_length_c 6.239
_cell_angle_alpha 90.00
_cell_angle_beta 108.06
_cell_angle_gamma 90.00
loop_
_symmetry_equiv_pos_as_xyz
'x,y,z'
'-x,-y,-z'
'-x,y,-z'
'x,-y,z'
'x+1/2,y+1/2,z'
'-x+1/2,-y+1/2,-z'
'-x+1/2,y+1/2,-z'
'x+1/2,-y+1/2,z'
loop_
_atom_site_label
_atom_site_type_symbol
_atom_site_fract_x
_atom_site_fract_y
_atom_site_fract_z
Si1 Si 0.000 0.000 0.000
P1 P 0.000 0.500 0.500
Au1 Au 0.248 0.500 0.245
# distance to the lowest polymorph of the same formula = 0.57 eV per formula unit
# electronic total energy = -0.3045 Ry/atom
# formation energy (no corrections) = 204 meV per atom



# EuTh2Rh | the Alexandria database | PBE-GGA | optimized geometry
data_EuTh2Rh
_symmetry_space_group_name_H-M 'R -3 m'
_symmetry_Int_Tables_number 166
_symmetry_space_group_name_Hall '-R 3 2"'
_cell_length_a 3.8890
_cell_length_b 3.8890
_cell_length_c 31.7138
_cell_angle_alpha 90.00
_cell_angle_beta 90.00
_cell_angle_gamma 120.00
loop_
_atom_site_label
_atom_site_type_symbol
_atom_site_fract_x
_atom_site_fract_y
_atom_site_fract_z
Eu1 Eu 0.0000 0.0000 0.0000
Th1 Th 0.0000 0.0000 0.1126
Rh1 Rh 0.0000 0.0000 0.5000
# formation energy from the elements = -152 meV/atom
# electronic total energy = -0.6077 Ry/atom



# U2CrSe6 | the Alexandria database | PBE-GGA | optimized geometry
data_U2CrSe6
_symmetry_space_group_name_H-M 'P 1 21/c 1'
_symmetry_Int_Tables_number 14
_cell_length_a 6.250
_cell_length_b 7.302
_cell_length_c 10.999
_cell_angle_alpha 90.00
_cell_angle_beta 124.60
_cell_angle_gamma 90.00
loop_
_symmetry_equiv_pos_as_xyz
'x,y,z'
'-x,-y,-z'
'-x,y+1/2,-z+1/2'
'x,-y+1/2,z+1/2'
loop_
_atom_site_label
_atom_site_type_symbol
_atom_site_fract_x
_atom_site_fract_y
_atom_site_fract_z
U1 U 0.192 0.126 0.251
Cr1 Cr 0.000 0.000 0.500
Se1 Se 0.094 0.186 0.943
Se2 Se 0.284 0.674 0.944
Se3 Se 0.399 0.035 0.756
# electronic total energy = -0.5022 Ry/atom
# formation energy (no corrections) = -932 meV per atom



# AcSm2FeN4 | the Alexandria database | PBE-GGA | optimized geometry
data_AcSm2FeN4
_symmetry_space_group_name_H-M 'C m c m'
_symmetry_Int_Tables_number 63
_symmetry_space_group_name_Hall '-C 2c 2'
_cell_length_a 3.528
_cell_length_b 11.887
_cell_length_c 11.910
_cell_angle_alpha 90.00
_cell_angle_beta 90.00
_cell_angle_gamma 90.00
loop_
_atom_site_label
_atom_site_type_symbol
_atom_site_fract_x
_atom_site_fract_y
_atom_site_fract_z
Ac1 Ac 0.000 0.105 0.250
Sm1 Sm 0.000 0.367 0.045
Fe1 Fe 0.000 0.167 0.750
N1 N 0.000 0.000 0.000
N2 N 0.000 0.266 0.630
N3 N 0.000 0.399 0.250
# electronic total energy = -0.5807 Ry/atom
# formation energy (no corrections) = -987 meV per atom